This record from the Alexandria database describes a geometry-optimized LaSeSCl2 structure. The functional is PBEsol.

It has space group P4/mmm (No. 123), with a = 5.456 Å, b = 5.456 Å, c = 5.604 Å, α = 90.00°, β = 90.00° and γ = 90.00°. Symmetry generates all atoms from La at (0.000, 0.000, 0.000), Se at (0.500, 0.500, 0.500), S at (0.000, 0.000, 0.500) and Cl at (0.000, 0.500, 0.000).

As for the total moment: 3.02 μB/cell. The raw formation energy comes out at -0.81 eV per atom.

This record from the Alexandria database describes a geometry-optimized La3Si2S8Cl structure. The functional is PBEsol.

It has space group C2/c (No. 15), with a = 15.457 Å, b = 7.744 Å, c = 10.923 Å, α = 90.00°, β = 96.69° and γ = 90.00°. Symmetry generates all atoms from La at (0.000, 0.118, 0.250), La at (0.192, 0.381, 0.686), Si at (0.161, 0.030, 0.030), S at (0.063, 0.155, 0.552), S at (0.148, 0.091, 0.840), S at (0.149, 0.248, 0.143), S at (0.214, 0.423, 0.416) and Cl at (0.000, 0.496, 0.250).

As for the total moment: 0.00 μB/cell. The raw formation energy comes out at -1.64 eV per atom.